# NdErS3, optimized geometry, DFT PBE-GGA
# Calculated total energy in eV/atom: -6.420
data_NdErS3
_chemical_formula_sum 'Nd4 Er4 S12'
_cell_length_a 3.888
_cell_length_b 12.666
_cell_length_c 9.549
_cell_angle_alpha 90.00
_cell_angle_beta 90.00
_cell_angle_gamma 90.00
_space_group_name_H-M_alt 'C m c m'
_space_group_IT_number 63
_space_group_name_Hall '-C 2c 2'
loop_
_atom_site_label
_atom_site_type_symbol
_atom_site_fract_x
_atom_site_fract_y
_atom_site_fract_z
_atom_site_occupancy
Nd1 Nd 0.000 0.247 0.250 1
Er1 Er 0.000 0.500 0.000 1
S1 S 0.000 0.143 0.565 1
S2 S 0.000 0.411 0.750 1

---

# PmZnO3, optimized geometry, DFT PBE-GGA
# Calculated total energy in eV/atom: -6.143
data_PmZnO3
_chemical_formula_sum 'Pm6 Zn6 O18'
_cell_length_a 5.7503
_cell_length_b 5.7503
_cell_length_c 15.3117
_cell_angle_alpha 90.00
_cell_angle_beta 90.00
_cell_angle_gamma 120.00
_space_group_name_H-M_alt 'R -3 c'
_space_group_IT_number 167
_space_group_name_Hall '-R 3 2"c'
loop_
_atom_site_label
_atom_site_type_symbol
_atom_site_fract_x
_atom_site_fract_y
_atom_site_fract_z
_atom_site_occupancy
Pm1 Pm 0.0000 0.0000 0.0000 1
Zn1 Zn 0.0000 0.0000 0.2500 1
O1 O 0.0000 0.3261 0.2500 1

---

# Gd3Bi4Au3, optimized geometry, DFT PBE-GGA
# Calculated total energy in eV/atom: -4.685
data_Gd3Bi4Au3
_chemical_formula_sum 'Gd12 Bi16 Au12'
_cell_length_a 10.164
_cell_length_b 10.164
_cell_length_c 10.164
_cell_angle_alpha 90.00
_cell_angle_beta 90.00
_cell_angle_gamma 90.00
_space_group_name_H-M_alt 'I -4 3 d'
_space_group_IT_number 220
_space_group_name_Hall 'I -4bd 2c 3'
loop_
_atom_site_label
_atom_site_type_symbol
_atom_site_fract_x
_atom_site_fract_y
_atom_site_fract_z
_atom_site_occupancy
Gd1 Gd 0.000 0.250 0.375 1
Bi1 Bi 0.092 0.092 0.092 1
Au1 Au 0.000 0.250 0.875 1

---

# BeCo2Si, optimized geometry, DFT PBE-GGA
# Calculated total energy in eV/atom: -6.002
data_BeCo2Si
_chemical_formula_sum 'Be4 Co8 Si4'
_cell_length_a 5.429
_cell_length_b 5.429
_cell_length_c 5.429
_cell_angle_alpha 90.00
_cell_angle_beta 90.00
_cell_angle_gamma 90.00
_space_group_name_H-M_alt 'F -4 3 m'
_space_group_IT_number 216
_space_group_name_Hall 'F -4 2 3'
loop_
_atom_site_label
_atom_site_type_symbol
_atom_site_fract_x
_atom_site_fract_y
_atom_site_fract_z
_atom_site_occupancy
Be1 Be 0.000 0.000 0.000 1
Co1 Co 0.000 0.000 0.500 1
Co2 Co 0.250 0.250 0.250 1
Si1 Si 0.250 0.250 0.750 1

---

# ZrZnTcNi, optimized geometry, DFT PBE-GGA
# Calculated total energy in eV/atom: -6.538
# ΔE_f in eV/f.u.: -0.41
data_ZrZnTcNi
_chemical_formula_sum 'Zr4 Zn4 Tc4 Ni4'
_cell_length_a 6.249
_cell_length_b 6.249
_cell_length_c 6.249
_cell_angle_alpha 90.00
_cell_angle_beta 90.00
_cell_angle_gamma 90.00
_space_group_name_H-M_alt 'F -4 3 m'
_space_group_IT_number 216
_space_group_name_Hall 'F -4 2 3'
loop_
_atom_site_label
_atom_site_type_symbol
_atom_site_fract_x
_atom_site_fract_y
_atom_site_fract_z
_atom_site_occupancy
Zr1 Zr 0.000 0.000 0.000 1
Zn1 Zn 0.000 0.000 0.500 1
Tc1 Tc 0.250 0.250 0.250 1
Ni1 Ni 0.250 0.250 0.750 1

---

# DyPOsO, optimized geometry, DFT PBE-GGA
# Calculated total energy in eV/atom: -6.473
data_DyPOsO
_chemical_formula_sum 'Dy2 P2 Os2 O2'
_cell_length_a 4.309
_cell_length_b 4.309
_cell_length_c 6.484
_cell_angle_alpha 90.00
_cell_angle_beta 90.00
_cell_angle_gamma 90.00
_space_group_name_H-M_alt 'P 4/n m m'
_space_group_IT_number 129
loop_
_space_group_symop_operation_xyz
'x,y,z'
'-x,-y,-z'
'-y+1/2,x,z'
'y+1/2,-x,-z'
'-x+1/2,-y+1/2,z'
'x+1/2,y+1/2,-z'
'y,-x+1/2,z'
'-y,x+1/2,-z'
'x+1/2,-y,-z'
'-x+1/2,y,z'
'-y,-x,-z'
'y,x,z'
'-x,y+1/2,-z'
'x,-y+1/2,z'
'y+1/2,x+1/2,-z'
'-y+1/2,-x+1/2,z'
loop_
_atom_site_label
_atom_site_type_symbol
_atom_site_fract_x
_atom_site_fract_y
_atom_site_fract_z
_atom_site_occupancy
Dy1 Dy 0.250 0.750 0.000 1
P1 P 0.250 0.250 0.278 1
Os1 Os 0.250 0.250 0.636 1
O1 O 0.250 0.750 0.500 1

---

# Pr4Te3P, optimized geometry, DFT PBE-GGA
# Calculated total energy in eV/atom: -5.755
data_Pr4Te3P
_chemical_formula_sum 'Pr8 Te6 P2'
_cell_length_a 9.061
_cell_length_b 12.635
_cell_length_c 4.386
_cell_angle_alpha 90.00
_cell_angle_beta 90.00
_cell_angle_gamma 90.00
_space_group_name_H-M_alt 'C m m m'
_space_group_IT_number 65
_space_group_name_Hall '-C 2 2'
loop_
_atom_site_label
_atom_site_type_symbol
_atom_site_fract_x
_atom_site_fract_y
_atom_site_fract_z
_atom_site_occupancy
Pr1 Pr 0.000 0.230 0.000 1
Pr2 Pr 0.219 0.000 0.500 1
Te1 Te 0.000 0.500 0.000 1
Te2 Te 0.250 0.250 0.500 1
P1 P 0.000 0.000 0.000 1

---

# CsPmIr, optimized geometry, DFT PBE-GGA
# Calculated total energy in eV/atom: -4.530
data_CsPmIr
_chemical_formula_sum 'Cs3 Pm3 Ir3'
_cell_length_a 5.4587
_cell_length_b 5.4587
_cell_length_c 11.7454
_cell_angle_alpha 90.00
_cell_angle_beta 90.00
_cell_angle_gamma 120.00
_space_group_name_H-M_alt 'P 3 m 1'
_space_group_IT_number 156
loop_
_space_group_symop_operation_xyz
'x,y,z'
'-y,x-y,z'
'-x+y,-x,z'
'-y,-x,z'
'-x+y,y,z'
'x,x-y,z'
loop_
_atom_site_label
_atom_site_type_symbol
_atom_site_fract_x
_atom_site_fract_y
_atom_site_fract_z
_atom_site_occupancy
Cs1 Cs 0.0000 0.0000 0.0000 1
Cs2 Cs 0.0000 0.0000 0.3278 1
Cs3 Cs 0.0000 0.0000 0.6634 1
Pm1 Pm 0.3333 0.6667 0.1639 1
Pm2 Pm 0.6667 0.3333 0.3945 1
Pm3 Pm 0.6667 0.3333 0.9321 1
Ir1 Ir 0.3333 0.6667 0.4088 1
Ir2 Ir 0.3333 0.6667 0.9186 1
Ir3 Ir 0.6667 0.3333 0.1634 1